Entry 1:
A plane-wave DFT calculation with PBE was carried out for a relaxed YAl3Os crystal.

Structure (POSCAR):
```
YAl3Os
1.0
4.9118 0.0000 0.0000
0.0000 6.9464 -0.0552
0.0000 -3.1938 6.1689
Y Os Al
2 2 6
direct
0.2500 0.4086 0.5914
0.7500 0.5914 0.4086
0.7500 0.8202 0.1798
0.2500 0.1798 0.8202
0.7500 0.0885 0.5754
0.2500 0.5754 0.0885
0.7500 0.4246 0.9115
0.5000 0.0000 0.0000
0.2500 0.9115 0.4246
0.0000 0.0000 0.0000
```

## Properties
Formation energy in eV per atom: -0.001
Energy in eV for the cell shown: -57.9


Entry 2:
A plane-wave DFT calculation with PBE was carried out for a relaxed Na3Cr3IrSe8 crystal.

Structure (POSCAR):
```
Na3Cr3IrSe8
1.0
-2.4633 -2.5453 6.5129
6.2211 -2.7507 -2.9417
0.4071 7.5798 3.1162
Se Cr Na Ir
8 3 3 1
direct
0.7685 0.0340 0.3030
0.7345 0.9660 0.6970
0.2655 0.0340 0.3030
0.2315 0.4629 0.6970
0.2671 0.5342 0.3017
0.7329 0.4658 0.6983
0.2315 0.9660 0.6970
0.7685 0.5371 0.3030
0.0000 0.5000 0.5000
0.5000 0.5000 0.5000
0.5000 0.0000 0.5000
0.0000 0.5000 0.0000
0.5000 0.5000 0.0000
0.0000 0.0000 0.0000
0.0000 0.0000 0.5000
```

## Properties
Energy relative to the elements, uncorrected in kJ/mol of formula units: -985
Energy in eV for the cell shown: -79.8


Entry 3:
A plane-wave DFT calculation with PBE was carried out for a relaxed NdLuHgPb crystal.

Structure (POSCAR):
```
NdLuHgPb
1.0
-0.2691 -3.0991 4.3868
-3.2022 -4.3202 0.0478
2.1394 -4.9335 -0.0578
Pb Hg Lu Nd
1 1 1 1
direct
0.0000 0.0000 0.0000
0.5000 0.5000 0.5000
0.7500 0.7500 0.7500
0.2500 0.2500 0.2500
```

## Properties
Formation energy in eV per atom: -0.426
Energy in eV for the cell shown: -15.0


Entry 4:
A plane-wave DFT calculation with PBE was carried out for a relaxed CaTiSiO5 crystal.

Structure (POSCAR):
```
CaTiSiO5
1.0
-3.1702 -4.2830 1.3955
5.0506 -1.2488 1.8094
-2.1591 5.2635 4.2992
O Ti Ca Si
10 2 2 2
direct
0.6228 0.7494 0.9077
0.2506 0.3772 0.5923
0.3127 0.8858 0.6158
0.6873 0.1142 0.3842
0.8858 0.3127 0.1158
0.7494 0.6228 0.4077
0.1142 0.6873 0.8842
0.3772 0.2506 0.0923
0.9311 0.0689 0.7500
0.0689 0.9311 0.2500
0.0000 0.0000 0.0000
0.0000 0.0000 0.5000
0.6718 0.3282 0.7500
0.3282 0.6718 0.2500
0.6804 0.3196 0.2500
0.3196 0.6804 0.7500
```

## Properties
Energy relative to the elements, uncorrected in kJ/mol of formula units: -2346
Energy in eV for the cell shown: -128.9


Entry 5:
A plane-wave DFT calculation with PBE was carried out for a relaxed Sm2Dy7Tm3 crystal.

Structure (POSCAR):
```
Sm2Dy7Tm3
1.0
3.5001 0.0000 0.0000
0.0000 6.2584 0.7630
0.0000 2.3278 17.6433
Dy Tm Sm
7 3 2
direct
0.0000 0.5614 0.1638
0.5000 0.2417 0.5018
0.0000 0.0000 0.0000
0.5000 0.9400 0.8321
0.0000 0.4386 0.8362
0.5000 0.7583 0.4982
0.5000 0.0600 0.1679
0.5000 0.5000 0.0000
0.0000 0.8910 0.6573
0.0000 0.1090 0.3427
0.5000 0.3876 0.6727
0.5000 0.6124 0.3273
```

## Properties
Formation energy in eV per atom: 0.075
Energy in eV for the cell shown: -54.2


Entry 6:
A plane-wave DFT calculation with PBE was carried out for a relaxed K2BaPtO4 crystal.

Structure (POSCAR):
```
K2BaPtO4
1.0
-5.5346 -1.0385 -1.2460
3.5157 -4.1777 -1.8573
1.0065 0.1551 5.6768
Ba O K Pt
1 4 2 1
direct
0.5000 0.2500 0.7500
0.4321 0.7160 0.7161
0.0001 0.7161 0.2840
0.9999 0.2839 0.7160
0.5679 0.2840 0.2839
0.5000 0.7500 0.2500
0.0000 0.0000 0.0000
0.0000 0.5000 0.5000
```

## Properties
Energy relative to the elements, uncorrected in kJ/mol of formula units: -1114
Energy in eV for the cell shown: -41.5


Entry 7:
A plane-wave DFT calculation with PBE was carried out for a relaxed ZrSc2Si crystal.

Structure (POSCAR):
```
ZrSc2Si
1.0
-3.9006 0.7613 8.7777
-2.0698 -1.8467 9.2275
-0.7916 1.0900 9.5408
Sc Si Zr
2 1 1
direct
0.5081 0.5081 0.5081
0.9919 0.9919 0.9919
0.2500 0.2500 0.2500
0.7500 0.7500 0.7500
```

## Properties
Energy relative to the elements, uncorrected in kJ/mol of formula units: -66
Energy in eV for the cell shown: -27.3


Entry 8:
A plane-wave DFT calculation with PBE was carried out for a relaxed Ac3B2SbPt8 crystal.

Structure (POSCAR):
```
Ac3B2SbPt8
1.0
-4.0602 -0.5723 4.8803
4.2415 -4.6109 -1.1746
6.1442 4.2237 5.6070
Sb B Pt Ac
1 2 8 3
direct
0.0000 0.0000 0.5000
0.6667 0.3333 0.7210
0.3333 0.6667 0.2790
0.6667 0.3333 0.9409
0.3043 0.1521 0.7151
0.8479 0.1521 0.7151
0.1521 0.3043 0.2849
0.1521 0.8479 0.2849
0.3333 0.6667 0.0591
0.8479 0.6957 0.7151
0.6957 0.8479 0.2849
0.0000 0.0000 0.0000
0.6667 0.3333 0.3630
0.3333 0.6667 0.6370
```

## Properties
Energy relative to the elements, uncorrected in kJ/mol of formula units: -745
Energy in eV for the cell shown: -85.8


Entry 9:
A plane-wave DFT calculation with PBE was carried out for a relaxed Cs2CeH3F3 crystal.

Structure (POSCAR):
```
Cs2CeH3F3
1.0
3.7597 0.0000 0.0000
0.0000 7.2564 0.0000
0.0000 -3.6282 6.2842
F H Cs Ce
3 3 2 1
direct
0.5000 0.7877 0.0000
0.5000 0.0000 0.7877
0.5000 0.2123 0.2123
0.0000 0.3064 0.0000
0.0000 0.0000 0.3064
0.0000 0.6936 0.6936
0.5000 0.6667 0.3333
0.5000 0.3333 0.6667
0.0000 0.0000 0.0000
```

## Properties
Energy in eV for the cell shown: -39.0


Entry 10:
A plane-wave DFT calculation with PBE was carried out for a relaxed MgFeW2 crystal.

Structure (POSCAR):
```
MgFeW2
1.0
7.2435 0.0000 0.0000
0.0000 7.2435 0.0000
3.6218 3.6218 2.5712
W Fe Mg
4 2 2
direct
0.8750 0.9428 0.7500
0.3750 0.3072 0.7500
0.6928 0.1250 0.2500
0.0572 0.6250 0.2500
0.7500 0.2500 0.5000
0.0000 0.0000 0.0000
0.5000 0.5000 0.0000
0.2500 0.7500 0.5000
```

## Properties
Formation energy in eV per atom: 0.793
Energy in eV for the cell shown: -65.6


Entry 11:
A plane-wave DFT calculation with PBE was carried out for a relaxed BiPtS2Cl crystal.

Structure (POSCAR):
```
BiPtS2Cl
1.0
-3.5763 -0.3774 3.8398
1.1984 -5.0854 0.6162
3.6127 1.2743 3.4900
Cl S Pt Bi
1 2 1 1
direct
0.0000 0.0000 0.5000
0.5000 0.0000 0.0000
0.0000 0.5000 0.0000
0.5000 0.5000 0.5000
0.0000 0.0000 0.0000
```

## Properties
Energy relative to the elements, uncorrected in kJ/mol of formula units: 438
Energy in eV for the cell shown: -15.5


Entry 12:
A plane-wave DFT calculation with PBE was carried out for a relaxed K2ZrSi crystal.

Structure (POSCAR):
```
K2ZrSi
1.0
3.3200 0.0000 0.0000
0.0000 5.9666 0.0000
0.0000 0.0000 5.8421
K Si Zr
2 1 1
direct
0.0000 0.0000 0.0088
0.0000 0.0000 0.4912
0.5000 0.5000 0.2500
0.5000 0.5000 0.7500
```

## Properties
Energy relative to the elements, uncorrected in kJ/mol of formula units: 279
Energy in eV for the cell shown: -13.3


Entry 13:
A plane-wave DFT calculation with PBE was carried out for a relaxed TeP2S2 crystal.

Structure (POSCAR):
```
TeP2S2
1.0
4.9441 0.0000 0.0000
0.0000 4.9441 0.0000
0.0000 0.0000 5.3294
P Te S
2 1 2
direct
0.0000 0.0000 0.5000
0.5000 0.5000 0.5000
0.0000 0.0000 0.0000
0.5000 0.0000 0.0000
0.0000 0.5000 0.0000
```

## Properties
Energy relative to the elements, uncorrected in kJ/mol of formula units: 639
Energy in eV for the cell shown: -15.6


Entry 14:
A plane-wave DFT calculation with PBE was carried out for a relaxed LaMg2Cu crystal.

Structure (POSCAR):
```
LaMg2Cu
1.0
-0.7564 2.6265 3.3228
2.1573 -1.9285 2.0155
6.0377 2.7137 -0.7706
La Mg Cu
1 2 1
direct
0.5000 0.7111 0.7018
0.5000 0.4404 0.2453
0.0000 0.0327 0.0593
0.0000 0.3158 0.4937
```

## Properties
Formation energy in eV per atom: -0.036
Energy in eV for the cell shown: -12.4


Entry 15:
A plane-wave DFT calculation with PBE was carried out for a relaxed CeHo2In2 crystal.

Structure (POSCAR):
```
CeHo2In2
1.0
5.2756 0.0000 0.0000
-2.6378 4.5688 0.0000
0.0000 0.0000 6.4581
In Ho Ce
2 2 1
direct
0.6667 0.3333 0.8185
0.3333 0.6667 0.1815
0.6667 0.3333 0.3398
0.3333 0.6667 0.6602
0.0000 0.0000 0.0000
```

## Properties
Formation energy in eV per atom: -0.146
Energy in eV for the cell shown: -21.3


Entry 16:
A plane-wave DFT calculation with PBE was carried out for a relaxed KSbTe2P crystal.

Structure (POSCAR):
```
KSbTe2P
1.0
-3.4987 -3.3970 -4.1843
5.1164 -0.5253 -3.8517
1.6529 -5.2968 2.9180
Sb K P Te
1 1 1 2
direct
0.0000 0.0000 0.5000
0.0000 0.0000 0.0000
0.5000 0.5000 0.5000
0.5000 0.0000 0.0000
0.0000 0.5000 0.0000
```

## Properties
Energy relative to the elements, uncorrected in kJ/mol of formula units: 716
Energy in eV for the cell shown: -9.5


Entry 17:
A plane-wave DFT calculation with PBE was carried out for a relaxed Ta2CuRu crystal.

Structure (POSCAR):
```
Ta2CuRu
1.0
-3.3033 -5.6684 2.6394
5.3821 -1.0582 4.4633
-0.1886 -1.7837 5.4067
Cu Ta Ru
2 4 2
direct
0.5000 0.5000 0.0000
0.2500 0.7500 0.5000
0.6423 0.1250 0.2500
0.3750 0.3577 0.7500
0.8750 0.8923 0.7500
0.1077 0.6250 0.2500
0.7500 0.2500 0.5000
0.0000 0.0000 0.0000
```

## Properties
Formation energy in eV per atom: 0.438
Energy in eV for the cell shown: -70.6


Entry 18:
A plane-wave DFT calculation with PBE was carried out for a relaxed CaInGe crystal.

Structure (POSCAR):
```
CaInGe
1.0
3.6928 0.0000 0.0000
0.0000 3.6928 0.0000
-1.8464 -1.8464 5.5625
Ge Ca In
1 1 1
direct
0.3013 0.3013 0.6025
0.6230 0.6230 0.2460
0.9257 0.9257 0.8515
```

## Properties
Formation energy in eV per atom: -0.278
Energy in eV for the cell shown: -10.2